{"formula": "CaMo2O6", "functional": "PBE+U", "state": "optimized geometry", "cell": [[5.4353, 0.0000, 0.0000], [-0.0352, 5.5616, 0.0000], [-0.0259, -0.0174, 7.8044]], "species": ["Ca", "Ca", "Mo", "Mo", "Mo", "Mo", "O", "O", "O", "O", "O", "O", "O", "O", "O", "O", "O", "O"], "frac_coords": [[0.0000, 0.0000, 0.0000], [0.4942, 0.3992, 0.5090], [0.4874, 0.9397, 0.7559], [0.4905, 0.9394, 0.2567], [0.9880, 0.4515, 0.7524], [0.9891, 0.4532, 0.2520], [0.0728, 0.4633, 0.5055], [0.1884, 0.7372, 0.7970], [0.2014, 0.7464, 0.2125], [0.2609, 0.2324, 0.2268], [0.2705, 0.2247, 0.7893], [0.4267, 0.9612, 0.5115], [0.5690, 0.9317, 0.9971], [0.6882, 0.6531, 0.7099], [0.6996, 0.6469, 0.2968], [0.7598, 0.1587, 0.2847], [0.7740, 0.1688, 0.7230], [0.9225, 0.4290, 0.0052]], "total_magnetization_mub_per_cell": 4.0, "spacegroup": "P1, No. 1", "dos_at_fermi_per_ev_fu": 0.939, "e_above_lowest_polymorph_mev_per_atom": 40.9}